VASP calculation (PBE) on a geometry-optimized Tc2IrW structure.

The value obtained for the total energy is -10.6059 eV/atom. The value obtained for the total moment is 0.0 μB/cell. The value obtained for the formation energy is 0.031 eV per atom.

It has space group P4/mmm (No. 123), with a = 2.749 Å, b = 2.749 Å, c = 7.938 Å, α = 90.00°, β = 90.00° and γ = 90.00°. Symmetry generates all atoms from Tc at (0.000, 0.000, 0.244), Ir at (0.500, 0.500, 0.000) and W at (0.500, 0.500, 0.500).

VASP calculation (PBE) on a geometry-optimized Ca3Nd2TaN6 structure.

The value obtained for the total energy is -7.5552 eV/atom. The value obtained for the total moment is 0.4 μB/cell.

It has space group C2/m (No. 12), with a = 6.041 Å, b = 10.487 Å, c = 6.036 Å, α = 90.00°, β = 109.48° and γ = 90.00°. Symmetry generates all atoms from Ca at (0.000, 0.000, 0.000), Ca at (0.000, 0.340, 0.000), Nd at (0.000, 0.167, 0.500), Ta at (0.000, 0.500, 0.500), N at (0.222, 0.353, 0.724) and N at (0.222, 0.500, 0.281).

VASP calculation (PBE) on a geometry-optimized Li2Ge2Sb structure.

The value obtained for the total energy is -3.5083 eV/atom. The value obtained for the total moment is 0.0 μB/cell.

It has space group I4/mmm (No. 139), with a = 4.148 Å, b = 4.148 Å, c = 11.545 Å, α = 90.00°, β = 90.00° and γ = 90.00°. Symmetry generates all atoms from Li at (0.000, 0.500, 0.250), Ge at (0.000, 0.000, 0.104) and Sb at (0.000, 0.000, 0.500).

VASP calculation (PBE) on a geometry-optimized Li2MnHAu structure.

The value obtained for the total energy is -4.1364 eV/atom. The value obtained for the total moment is 3.9 μB/cell.

It has space group P4/mmm (No. 123), with a = 3.950 Å, b = 3.950 Å, c = 3.929 Å, α = 90.00°, β = 90.00° and γ = 90.00°. Symmetry generates all atoms from Li at (0.000, 0.500, 0.000), Mn at (0.000, 0.000, 0.500), H at (0.000, 0.000, 0.000) and Au at (0.500, 0.500, 0.500).

VASP calculation (PBE) on a geometry-optimized K2BeCdF structure.

The value obtained for the total energy is -2.1681 eV/atom. The value obtained for the total moment is 0.0 μB/cell.

It has space group P4/mmm (No. 123), with a = 5.039 Å, b = 5.039 Å, c = 5.702 Å, α = 90.00°, β = 90.00° and γ = 90.00°. Symmetry generates all atoms from K at (0.000, 0.500, 0.000), Be at (0.000, 0.000, 0.500), Cd at (0.500, 0.500, 0.500) and F at (0.500, 0.500, 0.000).

VASP calculation (PBE) on a geometry-optimized LiAc4Tl2 structure.

The value obtained for the total energy is -3.4380 eV/atom. The value obtained for the total moment is 0.0 μB/cell. The value obtained for the formation energy is -0.141 eV per atom.

It has space group R-3m (No. 166, hexagonal axes), with a = 5.7590 Å, b = 5.7590 Å, c = 27.2925 Å, α = 90.00°, β = 90.00° and γ = 120.00°. Symmetry generates all atoms from Li at (0.0000, 0.0000, 0.0000), Ac at (0.0000, 0.0000, 0.1311), Ac at (0.0000, 0.0000, 0.3847) and Tl at (0.0000, 0.0000, 0.2579).

VASP calculation (PBE) on a geometry-optimized Na4Ce3SeS8 structure.

The value obtained for the total energy is -5.1002 eV/atom. The value obtained for the total moment is 4.0 μB/cell.

It has space group C2/m (No. 12), with a = 14.723 Å, b = 8.000 Å, c = 7.973 Å, α = 90.00°, β = 122.64° and γ = 90.00°. Symmetry generates all atoms from Na at (0.000, 0.000, 0.000), Na at (0.000, 0.500, 0.000), Na at (0.250, 0.250, 0.500), Ce at (0.000, 0.000, 0.500), Ce at (0.250, 0.250, 0.000), Se at (0.000, 0.500, 0.500), S at (0.018, 0.270, 0.741), S at (0.215, 0.000, 0.195) and S at (0.232, 0.000, 0.736).

VASP calculation (PBE) on a geometry-optimized InIr2Pt structure.

The value obtained for the total energy is -6.6082 eV/atom. The value obtained for the total moment is 0.0 μB/cell. The value obtained for the formation energy is 0.017 eV per atom.

It has space group P4mm (No. 99), with a = 2.862 Å, b = 2.862 Å, c = 7.886 Å, α = 90.00°, β = 90.00° and γ = 90.00°. Symmetry generates all atoms from In at (0.000, 0.000, 0.000), Ir at (0.000, 0.000, 0.489), Ir at (0.500, 0.500, 0.262) and Pt at (0.500, 0.500, 0.739).

VASP calculation (PBE) on a geometry-optimized PrHoEr4 structure.

The value obtained for the total energy is -4.3234 eV/atom. The value obtained for the total moment is 5.4 μB/cell. The value obtained for the formation energy is 0.278 eV per atom.

It has space group F-43m (No. 216), with a = 9.286 Å, b = 9.286 Å, c = 9.286 Å, α = 90.00°, β = 90.00° and γ = 90.00°. Symmetry generates all atoms from Pr at (0.000, 0.000, 0.000), Ho at (0.250, 0.250, 0.750) and Er at (0.125, 0.125, 0.375).

VASP calculation (PBE) on a geometry-optimized Y3InN structure.

The value obtained for the total energy is -6.9862 eV/atom. The value obtained for the total moment is 0.0 μB/cell.

It has space group Fmmm (No. 69), with a = 7.092 Å, b = 9.578 Å, c = 13.554 Å, α = 90.00°, β = 90.00° and γ = 90.00°. Symmetry generates all atoms from Y at (0.000, 0.250, 0.128), Y at (0.250, 0.000, 0.250), In at (0.250, 0.000, 0.000) and N at (0.250, 0.250, 0.250).

VASP calculation (PBE) on a geometry-optimized La2ZnBi structure.

The value obtained for the total energy is -4.3335 eV/atom. The value obtained for the total moment is 0.6 μB/cell. The value obtained for the formation energy is -0.581 eV per atom.

It has space group P4/mmm (No. 123), with a = 4.125 Å, b = 4.125 Å, c = 7.016 Å, α = 90.00°, β = 90.00° and γ = 90.00°. Symmetry generates all atoms from La at (0.000, 0.000, 0.244), Zn at (0.500, 0.500, 0.000) and Bi at (0.500, 0.500, 0.500).

VASP calculation (PBE) on a geometry-optimized LiMnTe2N structure.

The value obtained for the total energy is -5.2510 eV/atom. The value obtained for the total moment is 1.5 μB/cell.

It has space group P4/mmm (No. 123), with a = 5.479 Å, b = 5.479 Å, c = 3.449 Å, α = 90.00°, β = 90.00° and γ = 90.00°. Symmetry generates all atoms from Li at (0.000, 0.000, 0.000), Mn at (0.500, 0.500, 0.500), Te at (0.000, 0.500, 0.500) and N at (0.500, 0.500, 0.000).

> total moment of number 11 (La2ZnBi)?

0.6 μB/cell